--- 1 ---
Compound: ZrHIr2Pd
Source: Alexandria via LeMat-Bulk
Functional: GGA-PBE
Structure: optimized geometry

```
ZrHIr2Pd
1.0
3.998 0.000 0.000
0.000 3.998 0.000
0.000 0.000 4.164
Zr H Ir Pd
1 1 2 1
direct
0.000 0.000 0.000
0.000 0.000 0.500
0.000 0.500 0.500
0.500 0.000 0.500
0.500 0.500 0.000
```

Output
* space group: P4/mmm
* magnetic moment: 0.0000 μB/atom
* density: 14544 kg/m3


--- 2 ---
Compound: ZrHIr2Pd
Source: Alexandria via LeMat-Bulk
Functional: GGA-PBE
Structure: optimized geometry

```
ZrHIr2Pd
1.0
4.064 0.000 0.000
0.000 4.064 0.000
0.000 0.000 4.024
Zr H Ir Pd
1 1 2 1
direct
0.000 0.000 0.000
0.500 0.500 0.500
0.000 0.500 0.500
0.500 0.000 0.500
0.500 0.500 0.000
```

Output
* space group: P4/mmm
* magnetic moment: 0.0000 μB/atom
* density: 14567 kg/m3


Which structure is most stable? 2, by 3.8 kJ/mol of atoms over the runner-up.


--- 1 ---
Compound: Pm3HIr2
Source: Alexandria via LeMat-Bulk
Functional: GGA-PBE
Structure: optimized geometry

```
Pm3HIr2
1.0
6.075 -2.977 0.000
6.075 2.977 0.000
-1.453 0.000 7.408
Pm H Ir
6 2 4
direct
0.096 0.904 0.750
0.223 0.452 0.343
0.452 0.223 0.843
0.548 0.777 0.157
0.777 0.548 0.657
0.904 0.096 0.250
0.477 0.523 0.750
0.523 0.477 0.250
0.073 0.268 0.022
0.268 0.073 0.522
0.732 0.927 0.478
0.927 0.732 0.978
```

Output
* space group: C2/c
* magnetic moment: 0.0000 μB/atom
* density: 10168 kg/m3


--- 2 ---
Compound: Pm3HIr2
Source: Alexandria via LeMat-Bulk
Functional: GGA-PBE
Structure: optimized geometry

```
Pm3HIr2
1.0
6.274 -2.872 0.000
6.274 2.872 0.000
-2.509 0.000 7.764
Pm H Ir
6 2 4
direct
0.029 0.971 0.750
0.327 0.338 0.404
0.338 0.327 0.904
0.662 0.673 0.096
0.673 0.662 0.596
0.971 0.029 0.250
0.457 0.543 0.750
0.543 0.457 0.250
0.159 0.170 0.076
0.170 0.159 0.576
0.830 0.841 0.424
0.841 0.830 0.924
```

Output
* space group: C2/c
* magnetic moment: 0.0000 μB/atom
* density: 9739 kg/m3


Which structure is most stable? 1, by 5.9 kJ/mol of atoms over the runner-up.


--- 1 ---
Compound: Pm2HIr
Source: Alexandria via LeMat-Bulk
Functional: GGA-PBE
Structure: optimized geometry

```
Pm2HIr
1.0
0.000 3.446 3.446
3.446 0.000 3.446
3.446 3.446 0.000
Pm H Ir
2 1 1
direct
0.250 0.250 0.250
0.750 0.750 0.750
0.000 0.000 0.000
0.500 0.500 0.500
```

Output
* space group: Fm-3m
* magnetic moment: 0.0000 μB/atom
* density: 9801 kg/m3


--- 2 ---
Compound: Pm2HIr
Source: Alexandria via LeMat-Bulk
Functional: GGA-PBE
Structure: optimized geometry

```
Pm2HIr
1.0
-1.801 1.801 6.275
1.801 -1.801 6.275
1.801 1.801 -6.275
Pm H Ir
2 1 1
direct
0.134 0.134 0.000
0.866 0.866 0.000
0.750 0.250 0.500
0.500 0.500 0.000
```

Output
* space group: I-4m2
* magnetic moment: 0.0000 μB/atom
* density: 9851 kg/m3


--- 3 ---
Compound: Pm2HIr
Source: Alexandria via LeMat-Bulk
Functional: GGA-PBE
Structure: optimized geometry

```
Pm2HIr
1.0
1.971 1.138 6.926
-1.971 1.138 6.926
0.000 -2.276 6.926
Pm H Ir
2 1 1
direct
0.000 0.000 0.000
0.176 0.176 0.176
0.413 0.413 0.413
0.587 0.587 0.587
```

Output
* space group: R3m
* magnetic moment: 0.0000 μB/atom
* density: 8611 kg/m3


Which structure is most stable? 2, by 14.6 kJ/mol of atoms over the runner-up.


--- 1 ---
Compound: Pm2HIr
Source: Alexandria via LeMat-Bulk
Functional: GGA-PBE
Structure: optimized geometry

```
Pm2HIr
1.0
3.268 0.000 0.000
0.000 3.646 0.000
0.000 0.000 7.096
Pm H Ir
2 1 1
direct
0.000 0.000 0.248
0.000 0.000 0.752
0.500 0.000 0.500
0.500 0.500 0.000
```

Output
* space group: Pmmm
* magnetic moment: 0.0000 μB/atom
* density: 9490 kg/m3


--- 2 ---
Compound: Pm2HIr
Source: Alexandria via LeMat-Bulk
Functional: GGA-PBE
Structure: optimized geometry

```
Pm2HIr
1.0
3.330 0.000 0.000
0.000 3.330 0.000
0.000 0.000 7.242
Pm H Ir
2 1 1
direct
0.000 0.000 0.250
0.000 0.000 0.750
0.500 0.500 0.000
0.500 0.500 0.500
```

Output
* space group: P4/mmm
* magnetic moment: 0.0083 μB/atom
* density: 9990 kg/m3


Which structure is most stable? 1, by 13.5 kJ/mol of atoms over the runner-up.


--- 1 ---
Compound: PrHIr
Source: Alexandria via LeMat-Bulk
Functional: GGA-PBE
Structure: optimized geometry

```
PrHIr
1.0
5.692 -2.034 0.000
5.692 2.034 0.000
-0.063 0.000 4.483
Pr H Ir
2 2 2
direct
0.135 0.135 0.264
0.865 0.865 0.736
0.315 0.315 0.001
0.685 0.685 0.999
0.423 0.423 0.268
0.577 0.577 0.732
```

Output
* space group: C2/m
* magnetic moment: 0.0000 μB/atom
* density: 10688 kg/m3


--- 2 ---
Compound: PrHIr
Source: Alexandria via LeMat-Bulk
Functional: GGA-PBE
Structure: optimized geometry

```
PrHIr
1.0
3.982 0.000 0.000
-1.991 3.449 0.000
0.000 0.000 3.758
Pr H Ir
1 1 1
direct
0.000 0.000 0.000
0.333 0.667 0.500
0.667 0.333 0.500
```

Output
* space group: P-6m2
* magnetic moment: 0.0000 μB/atom
* density: 10749 kg/m3


Which structure is most stable? 1, by 42.3 kJ/mol of atoms over the runner-up.


--- 1 ---
Compound: HIr2Pt
Source: Alexandria via LeMat-Bulk
Functional: GGA-PBE
Structure: optimized geometry

```
HIr2Pt
1.0
0.000 2.985 2.985
2.985 0.000 2.985
2.985 2.985 0.000
H Ir Pt
1 2 1
direct
0.000 0.000 0.000
0.250 0.250 0.250
0.750 0.750 0.750
0.500 0.500 0.500
```

Output
* space group: Fm-3m
* magnetic moment: 0.0000 μB/atom
* density: 18131 kg/m3


--- 2 ---
Compound: HIr2Pt
Source: Alexandria via LeMat-Bulk
Functional: GGA-PBE
Structure: optimized geometry

```
HIr2Pt
1.0
-3.056 3.056 2.639
3.056 -3.056 2.639
3.056 3.056 -2.639
H Ir Pt
2 4 2
direct
0.000 0.000 0.000
0.750 0.250 0.500
0.028 0.625 0.903
0.375 0.278 0.403
0.722 0.125 0.097
0.875 0.972 0.597
0.250 0.750 0.500
0.500 0.500 0.000
```

Output
* space group: I-42d
* magnetic moment: 0.0000 μB/atom
* density: 19559 kg/m3


Which structure is most stable? 2, by 41.8 kJ/mol of atoms over the runner-up.